DFT (GGA-PBE) results for Ho4Rh2N after structural relaxation.

a = 7.919 Å, b = 7.919 Å, c = 7.919 Å
α = 146.46°, β = 146.46°, γ = 48.16°
Fractional positions:
Ho 0.000 0.500 0.500
Ho 0.176 0.176 0.000
Ho 0.500 0.000 0.500
Ho 0.824 0.824 0.000
Rh 0.365 0.365 0.000
Rh 0.635 0.635 0.000
N 0.000 0.000 0.000

Properties
Uncorrected formation energy: -0.843 eV/atom
Crystal system: tetragonal
N(E_F): 0.61 states/eV per atom
DFT total energy: -47.24 eV per cell
Size of the total moment: 0.000 μB/cell